DFT (PBE with a Hubbard U) results for a relaxed Mn2ReTeF crystal.

abc: 5.508 4.923 5.508
angles: 90.00 90.00 90.00
Atoms (fractional coordinates):
Te (0.000, 0.000, 0.000)
Mn (0.500, 0.000, 0.000)
Mn (0.000, 0.000, 0.500)
Re (0.000, 0.500, 0.000)
F (0.500, 0.500, 0.500)

space group: P4/mmm
excess energy over the best structure of this formula in the dataset: 843 meV/atom